No. 1
PrBrCl2 after structural relaxation, computed with PBE.

Calculated values
theoretical density: 4.3 g cm⁻³

Cell lengths 7.6420, 4.3257, 7.7395 Å; angles 90.00, 118.98, 90.00 degrees
Fractional positions:
Br: 0.0824 0.0000 0.7133
Br: 0.6301 0.0000 0.9132
Cl: 0.4002 0.5000 0.0906
Cl: 0.9153 0.5000 0.3147
Cl: 0.3000 0.0000 0.3904
Cl: 0.6802 0.5000 0.5906
Pr: 0.6606 0.0000 0.3290
Pr: 0.3313 0.5000 0.6581



No. 2
PrBrCl2 after structural relaxation, computed with PBE.

Calculated values
theoretical density: 4.4 g cm⁻³

Cell lengths 7.4635, 4.3547, 7.7079 Å; angles 90.00, 117.84, 90.00 degrees
Fractional positions:
Br: 0.7834 0.7500 0.4210
Br: 0.2166 0.2500 0.5790
Cl: 0.4057 0.2500 0.0989
Cl: 0.1023 0.7500 0.1873
Cl: 0.8977 0.2500 0.8127
Cl: 0.5943 0.7500 0.9011
Pr: 0.8299 0.2500 0.1625
Pr: 0.1701 0.7500 0.8375



No. 3
PrBr2Cl after structural relaxation, computed with PBE.

Calculated values
theoretical density: 4.7 g cm⁻³

Cell lengths 7.6856, 4.4077, 7.8342 Å; angles 90.00, 117.51, 90.00 degrees
Fractional positions:
Br: 0.8761 0.7500 0.0879
Br: 0.4227 0.7500 0.2958
Br: 0.5773 0.2500 0.7042
Br: 0.1239 0.2500 0.9121
Cl: 0.8168 0.2500 0.4110
Cl: 0.1832 0.7500 0.5890
Pr: 0.1624 0.2500 0.3339
Pr: 0.8376 0.7500 0.6661



No. 4
Pr2SbBrCl after structural relaxation, computed with PBE.

Calculated values
theoretical density: 4.9 g cm⁻³

Cell lengths 4.3865, 4.3865, 10.6225 Å; angles 90.00, 90.00, 120.00 degrees
Fractional positions:
Br: 0.0000 0.0000 0.3353
Cl: 0.6667 0.3333 0.6777
Pr: 0.6667 0.3333 0.1678
Pr: 0.0000 0.0000 0.8235
Sb: 0.3333 0.6667 0.9957



No. 5
Pr2SiBrCl after structural relaxation, computed with PBE.

Calculated values
theoretical density: 4.4 g cm⁻³

Cell lengths 4.2934, 4.2934, 10.1034 Å; angles 90.00, 90.00, 120.00 degrees
Fractional positions:
Br: 0.0000 0.0000 0.1586
Cl: 0.3333 0.6667 0.8272
Pr: 0.3333 0.6667 0.3374
Pr: 0.0000 0.0000 0.6729
Si: 0.6667 0.3333 0.5040



No. 6
Pr2Si2BrCl after structural relaxation, computed with PBE.

Calculated values
theoretical density: 4.5 g cm⁻³

Cell lengths 4.1297, 4.1297, 11.4462 Å; angles 90.00, 90.00, 120.00 degrees
Fractional positions:
Br: 0.0000 0.0000 0.6589
Cl: 0.3333 0.6667 0.3294
Pr: 0.6667 0.3333 0.1802
Pr: 0.6667 0.3333 0.8257
Si: 0.0000 0.0000 0.0090
Si: 0.3333 0.6667 0.9966



For each record above, in turn, the calculated VASP energy values are -4.69; -4.70; -4.51; -5.06; -5.16; -5.32 eV/atom.